Entry 1:
Computed, not measured: a relaxed Ac2PrSb3Rh4 crystal at the PBE level of DFT.

a b c (Å): 4.620 4.620 11.225
angles (deg): 90.00 90.00 90.00
Space group P-4m2 (No. 115)
Unique sites:
Ac 0.000 0.500 0.228 (multiplicity 2)
Pr 0.000 0.000 0.500 (multiplicity 1)
Sb 0.000 0.500 0.879 (multiplicity 2)
Sb 0.500 0.500 0.500 (multiplicity 1)
Rh 0.000 0.000 0.000 (multiplicity 1)
Rh 0.000 0.500 0.648 (multiplicity 2)
Rh 0.500 0.500 0.000 (multiplicity 1)

- Raw formation energy: -0.844 eV/atom
- Crystal system: tetragonal
- E_tot: -0.2323 Ha/atom
- Total magnetization: 0.0 μB per cell


Entry 2:
Computed, not measured: a relaxed AcPrSbRh crystal at the PBE level of DFT.

a b c (Å): 7.683 7.683 7.683
angles (deg): 90.00 90.00 90.00
Space group F-43m (No. 216)
Unique sites:
Ac 0.000 0.000 0.000 (multiplicity 4)
Pr 0.000 0.000 0.500 (multiplicity 4)
Sb 0.250 0.250 0.250 (multiplicity 4)
Rh 0.250 0.250 0.750 (multiplicity 4)

- Raw formation energy: -0.618 eV/atom
- Crystal system: cubic
- E_tot: -0.2098 Ha/atom
- Total magnetization: 0.0 μB per cell